The following is a DFT calculation (PBE) of a relaxed structure of YMgF3.

energy above the lowest structure with this stoichiometry = 0 meV/atom
N(E_F) = 0.000 states/eV/cell
total magnetization = 0.000 μB per atom
ΔE_f (raw) = -2.867 eV/atom

Lattice parameters (Å, degrees): 4.5228 4.5228 4.5228 90.00 90.00 90.00
Closest atoms and distances in Å follow each position.
Atoms (fractional coordinates):
Y  0.0000  0.0000  0.0000  6 F 2.26
Mg  0.5000  0.5000  0.5000  12 F 3.20
F  0.0000  0.5000  0.0000  2 Y 2.26
F  0.0000  0.0000  0.5000  2 Y 2.26
F  0.5000  0.0000  0.0000  2 Y 2.26